{
  "formula": "Mn2NiAu",
  "functional": "PBE",
  "state": "optimized geometry",
  "dos_at_fermi_per_ev_atom": 0.483,
  "m_tot_mub_per_cell": 8.578,
  "delta_e_f_mev_per_atom": 1,
  "e_above_lowest_polymorph_mev_per_atom": 0,
  "lattice_angstrom": [[2.966, 0.000, 0.000], [0.000, 2.966, 0.000], [0.000, 0.000, 6.627]],
  "species": ["Mn", "Mn", "Ni", "Au"],
  "frac_coords": [[0.000, 0.000, 0.220], [0.000, 0.000, 0.780], [0.500, 0.500, 0.000], [0.500, 0.500, 0.500]]
}